## VOsF (GGA+U)

Data for VOsF after structural relaxation.

Summary:
- Energy: -7.22 eV per atom

a = 13.6178 Å, b = 2.7927 Å, c = 2.7927 Å
α = 59.64°, β = 90.00°, γ = 90.00°
Closest atoms and distances in Å follow each position.
Element x y z (fractional)
V (0.0000, 0.0000, 0.0000)  6 Os 2.44-2.67
V (0.5000, 0.0678, 0.0678)  6 F 2.08-2.09
Os (0.1482, 0.7186, 0.7186)  3 V 2.44-2.67
Os (0.8518, 0.7186, 0.7186)  3 V 2.44-2.67
F (0.4027, 0.7332, 0.7332)  3 V 2.08-2.09
F (0.5973, 0.7332, 0.7332)  3 V 2.08-2.09